Record 1
Material: MnCoPt2
Method: DFT, GGA-PBE
State: optimized geometry

Summary:
The calculation puts the mass density at 14.77 Mg/m³. As for the density of states at the Fermi level: 0.9735 states/eV per atom. Its symmetry is No. 10. The calculated formation energy is -0.2107 eV per atom.

Lattice parameters (Å, degrees): 2.7607 3.7433 5.4826 90.00 90.10 90.00
Last column: nearest neighbours and their distance in Å.
Atoms (fractional coordinates):
1 Mn 0.0000 0.0000 0.0000  8 Pt 2.71-2.72, 2 Co 2.74, 2 Mn 2.76
2 Co 0.0000 0.0000 0.5000  8 Pt 2.68-2.69, 2 Mn 2.74, 2 Co 2.76
3 Pt 0.4996 0.5000 0.2553  4 Pt 2.68-2.80, 4 Co 2.68-2.69, 4 Mn 2.71-2.72
4 Pt 0.5004 0.5000 0.7447  4 Pt 2.68-2.80, 4 Co 2.68-2.69, 4 Mn 2.71-2.72

Record 2
Material: SmCrC2
Method: DFT, GGA-PBE
State: optimized geometry

Summary:
The calculation puts the mass density at 7.62 Mg/m³. As for the density of states at the Fermi level: 0.6045 states/eV per atom. Its symmetry is No. 166. The calculated formation energy is 0.2653 eV per atom.

Lattice parameters (Å, degrees): 5.7177 5.7177 5.7177 33.01 33.01 33.01
Last column: nearest neighbours and their distance in Å.
Atoms (fractional coordinates):
1 Sm 0.0000 0.0000 0.0000  6 C 2.53
2 Cr 0.5000 0.5000 0.5000  6 C 2.13
3 C 0.2288 0.2288 0.2288  3 Cr 2.13
4 C 0.7712 0.7712 0.7712  3 Cr 2.13

Short version: calculated volume = 57, 49 Å³ per cell, in the order given.